1.
DFT (PBE-GGA) results for a relaxed TlCrSbCl6 crystal.

```
TlCrSbCl6
1.0
6.830 0.000 0.000
-3.225 6.031 0.000
-0.225 -0.363 6.975
Tl Cr Sb Cl
1 1 1 6
Cartesian
0.000 0.000 0.000 Tl
-0.001 3.846 3.487 Cr
3.395 1.808 3.486 Sb
-2.029 3.732 2.180 Cl
1.050 2.319 1.991 Cl
-0.861 5.686 4.793 Cl
1.845 3.648 4.977 Cl
4.238 0.018 1.880 Cl
5.379 1.906 5.084 Cl
```

Computed properties:
symmetry	P1

***

2.
DFT (PBE-GGA) results for a relaxed Sc2CrCl crystal.

```
Sc2CrCl
1.0
4.657 0.000 0.000
0.000 3.174 0.000
-0.009 0.000 5.243
Sc Cr Cl
2 1 1
Cartesian
0.000 0.000 0.000 Sc
2.324 1.587 2.621 Sc
-0.004 0.000 2.621 Cr
2.329 1.587 0.000 Cl
```

Computed properties:
N(E_F)	4.01	states/eV per cell
symmetry	P2/m

***

3.
DFT (PBE-GGA) results for a relaxed Sc2CrCl crystal.

```
Sc2CrCl
1.0
-3.664 3.664 3.179
3.664 -3.664 3.179
3.664 3.664 -3.179
Sc Cr Cl
4 2 2
Cartesian
5.496 1.514 -0.795 Sc
1.514 1.832 0.795 Sc
-1.832 2.150 2.384 Sc
2.150 1.832 3.974 Sc
3.664 0.000 1.589 Cr
0.000 0.000 3.179 Cr
0.000 0.000 0.000 Cl
0.000 3.664 1.589 Cl
```

Computed properties:
N(E_F)	2.76	states/eV per cell
symmetry	I-42d

***

4.
DFT (PBE-GGA) results for a relaxed ScCrCl2 crystal.

```
ScCrCl2
1.0
1.699 0.981 10.131
-1.699 0.981 10.131
0.000 -1.961 10.131
Sc Cr Cl
1 1 2
Cartesian
0.000 0.000 0.000 Sc
0.000 0.000 15.196 Cr
0.000 0.000 8.496 Cl
0.000 0.000 21.897 Cl
```

Computed properties:
N(E_F)	2.44	states/eV per cell
symmetry	R-3m

***

5.
DFT (PBE-GGA) results for a relaxed Sc2CrCl crystal.

```
Sc2CrCl
1.0
-1.666 2.871 4.436
1.666 -2.871 4.436
1.666 2.871 -4.436
Sc Cr Cl
2 1 1
Cartesian
0.000 0.000 2.003 Sc
0.000 0.000 6.870 Sc
0.000 2.871 0.000 Cr
1.666 0.000 0.000 Cl
```

Computed properties:
N(E_F)	3.99	states/eV per cell
symmetry	Immm

***

6.
DFT (PBE-GGA) results for a relaxed ScCrCl6 crystal.

```
ScCrCl6
1.0
3.106 1.793 5.555
-3.106 1.793 5.555
0.000 -3.586 5.555
Sc Cr Cl
1 1 6
Cartesian
0.000 0.000 0.000 Sc
0.000 0.000 8.333 Cr
-1.942 0.080 6.980 Cl
-1.040 -1.642 9.685 Cl
0.902 -1.722 6.980 Cl
-0.902 1.722 9.685 Cl
1.040 1.642 6.980 Cl
1.942 -0.080 9.685 Cl
```

Computed properties:
symmetry	R-3

***

7.
DFT (PBE-GGA) results for a relaxed ScCrCl2 crystal.

```
ScCrCl2
1.0
1.622 -3.090 0.000
1.622 3.090 0.000
0.000 0.000 8.415
Sc Cr Cl
1 1 2
Cartesian
0.000 0.000 0.000 Sc
0.000 0.000 4.207 Cr
1.622 0.000 2.074 Cl
1.622 0.000 6.341 Cl
```

Computed properties:
N(E_F)	2.08	states/eV per cell
symmetry	Cmmm

***

8.
DFT (PBE-GGA) results for a relaxed ScCr4Cl crystal.

```
ScCr4Cl
1.0
0.000 3.507 3.507
3.507 0.000 3.507
3.507 3.507 0.000
Sc Cr Cl
1 4 1
Cartesian
0.000 0.000 0.000 Sc
2.634 2.634 2.634 Cr
4.379 4.379 2.634 Cr
4.379 2.634 4.379 Cr
2.634 4.379 4.379 Cr
5.260 5.260 5.260 Cl
```

Computed properties:
N(E_F)	7.50	states/eV per cell
symmetry	F-43m

***

Results for VASP energy: -3.951; -6.195; -6.024; -5.600; -6.084; -4.879; -5.379; -7.133 (in eV/atom, following the order of the records).
Results for M_tot: 4.0; 2.2; 3.0; 4.6; 3.8; 3.0; 4.5; 0.0 (in μB per formula unit, following the order of the records).